This record from OQMD via LeMat-Bulk describes ScZnCoAs after structural relaxation. The functional is PBE.

abc: 4.4055 4.4055 4.4055
angles: 60.00 60.00 60.00
Positions (direct):
As1 0.2500 0.2500 0.2500
Co1 0.5000 0.5000 0.5000
Sc1 0.7500 0.7500 0.7500
Zn1 0.0000 0.0000 0.0000

Calculated values
For the energy above the most stable polymorph in this dataset, the calculation gives 99 meV per atom. The calculation puts the spin magnetization at 0.28 μB/f.u.